The following is a PBE calculation of a relaxed structure of ZrSc2IrO, from the Alexandria database.

```
5
Lattice="4.262 0.000 0.000 0.000 4.262 0.000 0.000 0.000 4.510" Properties=species:S:1:pos:R:3 pbc="T T T"
Zr 0.000 0.000 0.000
Sc 0.000 2.131 2.255
Sc 2.131 0.000 2.255
Ir 2.131 2.131 0.000
O 0.000 0.000 2.255
```

Output
E   -8.494 eV/atom
Formation energy from raw total energies   -143.6 kJ per mole of atoms
V   16.4 A^3/atom